Entry 1:
VASP calculation (PBE) on an optimized crystal structure of Tb4Dy5Te2.

abc: 6.069 6.069 16.051
angles: 90.29 90.29 35.40
Fractional positions:
Tb 0.127 0.127 0.245
Tb 0.145 0.145 0.667
Tb 0.855 0.855 0.333
Tb 0.873 0.873 0.755
Dy 0.000 0.000 0.000
Dy 0.139 0.139 0.449
Dy 0.264 0.264 0.909
Dy 0.736 0.736 0.091
Dy 0.861 0.861 0.551
Te 0.432 0.432 0.169
Te 0.568 0.568 0.831

Values from the calculation:
formation energy from raw total energies: -0.274 eV/atom
space-group type: C2/m (12)
DOS(E_F): 16.04 states/eV/f.u.

---

Entry 2:
VASP calculation (PBE) on an optimized crystal structure of VZnTc2.

abc: 9.275 9.275 9.275
angles: 16.95 16.95 16.95
Fractional positions:
V 0.000 0.000 0.000
Zn 0.500 0.500 0.500
Tc 0.085 0.085 0.085
Tc 0.915 0.915 0.915

Values from the calculation:
energy relative to the elements: 0.364 eV per atom
space-group type: R-3m (166)
DOS(E_F): 5.73 states/eV/f.u.

---

Entry 3:
VASP calculation (PBE) on an optimized crystal structure of U3Sn.

abc: 6.270 6.270 5.938
angles: 113.99 113.99 60.92
Fractional positions:
U 0.035 0.035 0.243
U 0.136 0.582 0.226
U 0.418 0.864 0.774
U 0.582 0.136 0.226
U 0.864 0.418 0.774
U 0.965 0.965 0.757
Sn 0.361 0.361 0.709
Sn 0.639 0.639 0.291

Values from the calculation:
energy relative to the elements: 0.054 eV per atom
space-group type: C2/m (12)
DOS(E_F): 9.94 states/eV/f.u.

---

Entry 4:
VASP calculation (PBE) on an optimized crystal structure of PmMg4Ag2.

abc: 8.466 8.466 4.445
angles: 90.00 90.00 90.00
Fractional positions:
Pm 0.000 0.000 0.000
Pm 0.500 0.500 0.500
Mg 0.088 0.337 0.500
Mg 0.163 0.588 0.000
Mg 0.337 0.088 0.500
Mg 0.412 0.837 0.000
Mg 0.588 0.163 0.000
Mg 0.663 0.912 0.500
Mg 0.837 0.412 0.000
Mg 0.912 0.663 0.500
Ag 0.215 0.785 0.500
Ag 0.285 0.285 0.000
Ag 0.715 0.715 0.000
Ag 0.785 0.215 0.500

Values from the calculation:
energy relative to the elements: -0.188 eV per atom
space-group type: P4_2/mnm (136)
DOS(E_F): 4.43 states/eV/f.u.

---

Entry 5:
VASP calculation (PBE) on an optimized crystal structure of BaCrRh2.

abc: 8.667 8.667 8.667
angles: 145.15 145.15 50.12
Fractional positions:
Ba 0.000 0.000 0.000
Ba 0.750 0.250 0.500
Cr 0.250 0.750 0.500
Cr 0.500 0.500 0.000
Rh 0.321 0.625 0.196
Rh 0.375 0.571 0.696
Rh 0.429 0.125 0.804
Rh 0.875 0.679 0.304

Values from the calculation:
energy relative to the elements: 0.344 eV per atom
space-group type: I-42d (122)
DOS(E_F): 2.74 states/eV/f.u.

---

Entry 6:
VASP calculation (PBE) on an optimized crystal structure of ZrTa4Mo.

abc: 5.468 5.468 5.468
angles: 60.00 60.00 60.00
Fractional positions:
Zr 0.000 0.000 0.000
Ta 0.375 0.375 0.375
Ta 0.375 0.375 0.875
Ta 0.375 0.875 0.375
Ta 0.875 0.375 0.375
Mo 0.750 0.750 0.750

Values from the calculation:
energy relative to the elements: 0.184 eV per atom
space-group type: F-43m (216)
DOS(E_F): 10.73 states/eV/f.u.

---

no.,calculated volume (Å³ per cell),uncorrected energy (eV/atom),magnetization (μB per formula unit)
1,342.5,-4.62,0.0
2,59.1,-7.42,0.0
3,179.9,-9.41,0.0
4,318.6,-2.59,0.0
5,211.6,-6.22,3.1
6,115.6,-10.95,0.0